Compound: BaLiIr2
Source: the Alexandria database
Functional: PBE-GGA
Structure: relaxed

Summary:
- Total moment: 0.00 μB per cell
- DOS(E_F): 7.78 states/eV per cell
- Energy of formation: -0.181 eV per atom
- Energy above the lowest structure with this stoichiometry: 0.000 eV per atom

Geometry as CIF:
```
data_BaLiIr2
_symmetry_space_group_name_H-M 'C 1 m 1'
_symmetry_Int_Tables_number 8
_cell_length_a 7.5566
_cell_length_b 4.4090
_cell_length_c 6.1405
_cell_angle_alpha 90.00
_cell_angle_beta 114.49
_cell_angle_gamma 90.00
loop_
_symmetry_equiv_pos_as_xyz
'x,y,z'
'x,-y,z'
'x+1/2,y+1/2,z'
'x+1/2,-y+1/2,z'
loop_
_atom_site_label
_atom_site_type_symbol
_atom_site_fract_x
_atom_site_fract_y
_atom_site_fract_z
Ba1 Ba 0.0000 0.0000 0.0000
Li1 Li 0.1891 0.0000 0.5626
Ir1 Ir 0.3092 0.5000 0.4139
Ir2 Ir 0.4722 0.0000 0.4228
```


Compound: LiReAg2
Source: the Alexandria database
Functional: PBE-GGA
Structure: relaxed

Summary:
- Total moment: 0.41 μB per cell
- DOS(E_F): 12.14 states/eV per cell
- Energy of formation: 0.321 eV per atom
- Energy above the lowest structure with this stoichiometry: 0.026 eV per atom

Geometry as CIF:
```
data_LiReAg2
_symmetry_space_group_name_H-M 'R -3 m'
_symmetry_Int_Tables_number 166
_symmetry_space_group_name_Hall '-R 3 2"'
_cell_length_a 2.7963
_cell_length_b 2.7963
_cell_length_c 28.4662
_cell_angle_alpha 90.00
_cell_angle_beta 90.00
_cell_angle_gamma 120.00
loop_
_atom_site_label
_atom_site_type_symbol
_atom_site_fract_x
_atom_site_fract_y
_atom_site_fract_z
Li1 Li 0.0000 0.0000 0.0000
Re1 Re 0.0000 0.0000 0.5000
Ag1 Ag 0.0000 0.0000 0.2521
```


Compound: SrReSN2
Source: the Alexandria database
Functional: PBE-GGA
Structure: relaxed

Summary:
- Total moment: 0.16 μB per cell
- E_form (uncorrected): -2.139 eV per formula unit
- DOS(E_F): 3.11 states/eV per cell
- Energy above the lowest structure with this stoichiometry: 0.000 eV per atom

Geometry as CIF:
```
data_SrReSN2
_symmetry_space_group_name_H-M 'P 4/m m m'
_symmetry_Int_Tables_number 123
_symmetry_space_group_name_Hall '-P 4 2'
_cell_length_a 3.9580
_cell_length_b 3.9580
_cell_length_c 5.1230
_cell_angle_alpha 90.00
_cell_angle_beta 90.00
_cell_angle_gamma 90.00
loop_
_atom_site_label
_atom_site_type_symbol
_atom_site_fract_x
_atom_site_fract_y
_atom_site_fract_z
Sr1 Sr 0.0000 0.0000 0.0000
Re1 Re 0.5000 0.5000 0.5000
S1 S 0.5000 0.5000 0.0000
N1 N 0.0000 0.5000 0.5000
```


Compound: La2NpTc2N6
Source: the Alexandria database
Functional: PBE-GGA
Structure: relaxed

Summary:
- Total moment: 7.72 μB per cell
- E_form (uncorrected): -7.375 eV per formula unit
- DOS(E_F): 25.54 states/eV per cell

Geometry as CIF:
```
data_La2NpTc2N6
_symmetry_space_group_name_H-M 'R -3 m'
_symmetry_Int_Tables_number 166
_symmetry_space_group_name_Hall '-R 3 2"'
_cell_length_a 5.7818
_cell_length_b 5.7818
_cell_length_c 17.6271
_cell_angle_alpha 90.00
_cell_angle_beta 90.00
_cell_angle_gamma 120.00
loop_
_atom_site_label
_atom_site_type_symbol
_atom_site_fract_x
_atom_site_fract_y
_atom_site_fract_z
La1 La 0.0000 0.0000 0.2098
Np1 Np 0.0000 0.0000 0.0000
Tc1 Tc 0.0000 0.0000 0.3959
N1 N 0.0176 0.5088 0.7582
```


Compound: Ta2CdCl
Source: the Alexandria database
Functional: PBE-GGA
Structure: relaxed

Summary:
- Total moment: 0.00 μB per cell
- E_form (uncorrected): 1.118 eV per formula unit
- DOS(E_F): 6.62 states/eV per cell
- Energy above the lowest structure with this stoichiometry: 0.345 eV per atom

Geometry as CIF:
```
data_Ta2CdCl
_symmetry_space_group_name_H-M 'A m m 2'
_symmetry_Int_Tables_number 38
_cell_length_a 4.6832
_cell_length_b 2.9331
_cell_length_c 11.4447
_cell_angle_alpha 90.00
_cell_angle_beta 90.00
_cell_angle_gamma 90.00
loop_
_symmetry_equiv_pos_as_xyz
'x,y,z'
'-x,-y,z'
'-x,y,z'
'x,-y,z'
'x,y+1/2,z+1/2'
'-x,-y+1/2,z+1/2'
'-x,y+1/2,z+1/2'
'x,-y+1/2,z+1/2'
loop_
_atom_site_label
_atom_site_type_symbol
_atom_site_fract_x
_atom_site_fract_y
_atom_site_fract_z
Ta1 Ta 0.0000 0.0000 0.0000
Ta2 Ta 0.5000 0.0000 0.3846
Cd1 Cd 0.5000 0.0000 0.6425
Cl1 Cl 0.0000 0.0000 0.3232
```


Compound: AcYAl2Si2
Source: the Alexandria database
Functional: PBE-GGA
Structure: relaxed

Summary:
- Total moment: 0.00 μB per cell
- E_form (uncorrected): -3.476 eV per formula unit
- DOS(E_F): 1.80 states/eV per cell

Geometry as CIF:
```
data_AcYAl2Si2
_symmetry_space_group_name_H-M 'P -3 m 1'
_symmetry_Int_Tables_number 164
_symmetry_space_group_name_Hall '-P 3 2"'
_cell_length_a 4.2307
_cell_length_b 4.2307
_cell_length_c 8.7370
_cell_angle_alpha 90.00
_cell_angle_beta 90.00
_cell_angle_gamma 120.00
loop_
_atom_site_label
_atom_site_type_symbol
_atom_site_fract_x
_atom_site_fract_y
_atom_site_fract_z
Ac1 Ac 0.0000 0.0000 0.0000
Y1 Y 0.0000 0.0000 0.5000
Al1 Al 0.3333 0.6667 0.7366
Si1 Si 0.3333 0.6667 0.2787
```


Compound: TaInTe2I
Source: the Alexandria database
Functional: PBE-GGA
Structure: relaxed

Summary:
- Total moment: 0.00 μB per cell
- E_form (uncorrected): 0.268 eV per formula unit
- DOS(E_F): 3.52 states/eV per cell
- Energy above the lowest structure with this stoichiometry: 0.000 eV per atom

Geometry as CIF:
```
data_TaInTe2I
_symmetry_space_group_name_H-M 'P 4/m m m'
_symmetry_Int_Tables_number 123
_symmetry_space_group_name_Hall '-P 4 2'
_cell_length_a 5.4672
_cell_length_b 5.4672
_cell_length_c 5.6881
_cell_angle_alpha 90.00
_cell_angle_beta 90.00
_cell_angle_gamma 90.00
loop_
_atom_site_label
_atom_site_type_symbol
_atom_site_fract_x
_atom_site_fract_y
_atom_site_fract_z
Ta1 Ta 0.0000 0.0000 0.0000
In1 In 0.5000 0.5000 0.5000
Te1 Te 0.0000 0.5000 0.0000
I1 I 0.0000 0.0000 0.5000
```


Compound: Tm3MnC3
Source: the Alexandria database
Functional: PBE-GGA
Structure: relaxed

Summary:
- Total moment: 0.00 μB per cell
- DOS(E_F): 16.70 states/eV per cell
- Energy of formation: -0.371 eV per atom

Geometry as CIF:
```
data_Tm3MnC3
_symmetry_space_group_name_H-M 'C m c m'
_symmetry_Int_Tables_number 63
_symmetry_space_group_name_Hall '-C 2c 2'
_cell_length_a 8.3604
_cell_length_b 10.1617
_cell_length_c 4.9997
_cell_angle_alpha 90.00
_cell_angle_beta 90.00
_cell_angle_gamma 90.00
loop_
_atom_site_label
_atom_site_type_symbol
_atom_site_fract_x
_atom_site_fract_y
_atom_site_fract_z
Tm1 Tm 0.0000 0.1081 0.2500
Tm2 Tm 0.2116 0.3801 0.2500
Mn1 Mn 0.0000 0.3041 0.7500
C1 C 0.0000 0.1244 0.7500
C2 C 0.1990 0.3740 0.7500
```


Compound: ScWS
Source: the Alexandria database
Functional: PBE-GGA
Structure: relaxed

Summary:
- Total moment: 0.00 μB per cell
- E_form (uncorrected): -0.703 eV per formula unit
- DOS(E_F): 7.33 states/eV per cell

Geometry as CIF:
```
data_ScWS
_symmetry_space_group_name_H-M 'C 1 2/m 1'
_symmetry_Int_Tables_number 12
_cell_length_a 10.4000
_cell_length_b 4.5698
_cell_length_c 5.1300
_cell_angle_alpha 90.00
_cell_angle_beta 103.93
_cell_angle_gamma 90.00
loop_
_symmetry_equiv_pos_as_xyz
'x,y,z'
'-x,-y,-z'
'-x,y,-z'
'x,-y,z'
'x+1/2,y+1/2,z'
'-x+1/2,-y+1/2,-z'
'-x+1/2,y+1/2,-z'
'x+1/2,-y+1/2,z'
loop_
_atom_site_label
_atom_site_type_symbol
_atom_site_fract_x
_atom_site_fract_y
_atom_site_fract_z
Sc1 Sc 0.1317 0.0000 0.3804
W1 W 0.0327 0.5000 0.7484
S1 S 0.1891 0.5000 0.1824
```


Compound: LiSi2Pd
Source: the Alexandria database
Functional: PBE-GGA
Structure: relaxed

Summary:
- Total moment: 0.00 μB per cell
- E_form (uncorrected): -1.081 eV per formula unit
- DOS(E_F): 1.84 states/eV per cell

Geometry as CIF:
```
data_LiSi2Pd
_symmetry_space_group_name_H-M 'P 4/m m m'
_symmetry_Int_Tables_number 123
_symmetry_space_group_name_Hall '-P 4 2'
_cell_length_a 3.6966
_cell_length_b 3.6966
_cell_length_c 3.9946
_cell_angle_alpha 90.00
_cell_angle_beta 90.00
_cell_angle_gamma 90.00
loop_
_atom_site_label
_atom_site_type_symbol
_atom_site_fract_x
_atom_site_fract_y
_atom_site_fract_z
Li1 Li 0.0000 0.0000 0.0000
Si1 Si 0.0000 0.5000 0.5000
Pd1 Pd 0.5000 0.5000 0.0000
```


Please write out number 3 again, unchanged.
Compound: SrReSN2
Source: the Alexandria database
Functional: PBE-GGA
Structure: relaxed

Summary:
- Total moment: 0.16 μB per cell
- E_form (uncorrected): -2.139 eV per formula unit
- DOS(E_F): 3.11 states/eV per cell
- Energy above the lowest structure with this stoichiometry: 0.000 eV per atom

Geometry as CIF:
```
data_SrReSN2
_symmetry_space_group_name_H-M 'P 4/m m m'
_symmetry_Int_Tables_number 123
_symmetry_space_group_name_Hall '-P 4 2'
_cell_length_a 3.9580
_cell_length_b 3.9580
_cell_length_c 5.1230
_cell_angle_alpha 90.00
_cell_angle_beta 90.00
_cell_angle_gamma 90.00
loop_
_atom_site_label
_atom_site_type_symbol
_atom_site_fract_x
_atom_site_fract_y
_atom_site_fract_z
Sr1 Sr 0.0000 0.0000 0.0000
Re1 Re 0.5000 0.5000 0.5000
S1 S 0.5000 0.5000 0.0000
N1 N 0.0000 0.5000 0.5000
```